29
Lattice="-4.3038 4.3038 4.3038 4.3038 -4.3038 4.3038 4.3038 4.3038 -4.3038" Properties=species:S:1:pos:R:3 comment="GGA+U Tb4Mn6O19, optimized geometry" e_tot_ev_per_cell=-216.64 crystal_system=cubic pbc="T T T"
Tb 1.3959 1.3959 -1.3959
Tb 1.3959 -1.3959 1.3959
Tb -1.3959 1.3959 1.3959
Tb 2.9079 2.9079 2.9079
Mn 4.3038 1.3957 0.0000
Mn 4.3038 0.0000 2.9081
Mn 2.9081 4.3038 0.0000
Mn 1.3957 0.0000 4.3038
Mn 0.0000 4.3038 1.3957
Mn 0.0000 2.9081 4.3038
O 0.0000 0.0000 0.0000
O 2.9907 0.0000 0.0000
O 5.6170 0.0000 0.0000
O 3.9128 -1.5525 1.8567
O 5.8564 2.4471 -0.3910
O 1.8567 3.9128 -1.5525
O 2.7513 2.4471 0.3910
O 0.0000 2.9907 0.0000
O 0.0000 0.0000 2.9907
O 2.4471 0.3910 2.7513
O 4.6949 1.5525 1.8567
O 0.3910 2.7513 2.4471
O 2.4471 -0.3910 5.8564
O 0.0000 5.6170 0.0000
O 0.0000 0.0000 5.6170
O -1.5525 1.8567 3.9128
O 1.8567 4.6949 1.5525
O 1.5525 1.8567 4.6949
O -0.3910 5.8564 2.4471